Density functional theory data (GGA-PBEsol) for a relaxed SrSc2Rh crystal.

Structure (CIF):
```
data_SrSc2Rh
_chemical_formula_sum 'Sr1 Sc2 Rh1'
_symmetry_space_group_name_H-M 'P 4 m m'
_symmetry_Int_Tables_number 99
_cell_length_a 3.592
_cell_length_b 3.592
_cell_length_c 7.880
_cell_angle_alpha 90.00
_cell_angle_beta 90.00
_cell_angle_gamma 90.00
loop_
_symmetry_equiv_pos_as_xyz
'x,y,z'
'-y,x,z'
'-x,-y,z'
'y,-x,z'
'-x,y,z'
'y,x,z'
'x,-y,z'
'-y,-x,z'
loop_
_atom_site_label
_atom_site_fract_x
_atom_site_fract_y
_atom_site_fract_z
Sr1 0.000 0.000 0.000
Sc1 0.000 0.000 0.405
Sc2 0.500 0.500 0.648
Rh1 0.500 0.500 0.313
```

Properties
**Formation enthalpy at 0 K**: -0.206 eV per atom

Density functional theory data (GGA-PBEsol) for a relaxed ScTaRh2 crystal.

Structure (CIF):
```
data_ScTaRh2
_chemical_formula_sum 'Sc1 Ta1 Rh2'
_symmetry_space_group_name_H-M 'P 4/m m m'
_symmetry_Int_Tables_number 123
_symmetry_space_group_name_Hall '-P 4 2'
_cell_length_a 2.997
_cell_length_b 2.997
_cell_length_c 7.011
_cell_angle_alpha 90.00
_cell_angle_beta 90.00
_cell_angle_gamma 90.00
loop_
_atom_site_label
_atom_site_fract_x
_atom_site_fract_y
_atom_site_fract_z
Sc1 0.000 0.000 0.000
Ta1 0.000 0.000 0.500
Rh1 0.500 0.500 0.251
```

Properties
**Formation enthalpy at 0 K**: -0.663 eV per atom

Density functional theory data (GGA-PBEsol) for a relaxed ScTaRh2 crystal.

Structure (CIF):
```
data_ScTaRh2
_chemical_formula_sum 'Sc2 Ta2 Rh4'
_symmetry_space_group_name_H-M 'I m m 2'
_symmetry_Int_Tables_number 44
_cell_length_a 3.397
_cell_length_b 4.131
_cell_length_c 9.111
_cell_angle_alpha 90.00
_cell_angle_beta 90.00
_cell_angle_gamma 90.00
loop_
_symmetry_equiv_pos_as_xyz
'x,y,z'
'-x,-y,z'
'-x,y,z'
'x,-y,z'
'x+1/2,y+1/2,z+1/2'
'-x+1/2,-y+1/2,z+1/2'
'-x+1/2,y+1/2,z+1/2'
'x+1/2,-y+1/2,z+1/2'
loop_
_atom_site_label
_atom_site_fract_x
_atom_site_fract_y
_atom_site_fract_z
Sc1 0.000 0.000 0.000
Ta1 0.000 0.500 0.757
Rh1 0.000 0.000 0.487
Rh2 0.000 0.500 0.253
```

Properties
**Formation enthalpy at 0 K**: -0.504 eV per atom

Density functional theory data (GGA-PBEsol) for a relaxed ScTaRh2 crystal.

Structure (CIF):
```
data_ScTaRh2
_chemical_formula_sum 'Sc1 Ta1 Rh2'
_symmetry_space_group_name_H-M 'P 4/m m m'
_symmetry_Int_Tables_number 123
_symmetry_space_group_name_Hall '-P 4 2'
_cell_length_a 4.629
_cell_length_b 4.629
_cell_length_c 2.959
_cell_angle_alpha 90.00
_cell_angle_beta 90.00
_cell_angle_gamma 90.00
loop_
_atom_site_label
_atom_site_fract_x
_atom_site_fract_y
_atom_site_fract_z
Sc1 0.000 0.000 0.000
Ta1 0.500 0.500 0.000
Rh1 0.000 0.500 0.500
```

Properties
**Formation enthalpy at 0 K**: -0.643 eV per atom

- What is the formula in the first record?
  SrSc2Rh

- formation enthalpy at 0 K of number 4 (ScTaRh2)?
  -0.643 eV per atom